1.
Entry from the Alexandria database: a relaxed AcAlAs2 crystal (PBE-GGA).

Unit cell a=3.8910 b=3.8910 c=6.3225 alpha=90.00 beta=90.00 gamma=90.00
Fractional positions:
Ac1 0.0000 0.0000 0.0000
Al1 0.0000 0.0000 0.5000
As1 0.5000 0.5000 0.2933
As2 0.5000 0.5000 0.7067

Summary:
The energy of formation is -0.441 eV/atom. As for the density of states at the Fermi level: 2.07 states/eV per cell. The value obtained for the energy above the lowest structure with this stoichiometry is 247 meV per atom.

***

2.
Entry from the Alexandria database: a relaxed Ac3AlAs crystal (PBE-GGA).

Unit cell a=5.9248 b=5.9248 c=5.9248 alpha=90.00 beta=90.00 gamma=90.00
Fractional positions:
Ac1 0.0000 0.0000 0.5000
Ac2 0.0000 0.5000 0.0000
Ac3 0.5000 0.0000 0.0000
Al1 0.5000 0.5000 0.5000
As1 0.0000 0.0000 0.0000

Summary:
The energy of formation is -0.274 eV/atom. As for the density of states at the Fermi level: 2.57 states/eV per cell.

***

3.
Entry from the Alexandria database: a relaxed Ac2AlAs crystal (PBE-GGA).

Unit cell a=3.9748 b=3.9748 c=7.6110 alpha=90.00 beta=90.00 gamma=90.00
Fractional positions:
Ac1 0.0000 0.0000 0.2364
Ac2 0.0000 0.0000 0.7636
Al1 0.5000 0.5000 0.5000
As1 0.5000 0.5000 0.0000

Summary:
The energy of formation is -0.644 eV/atom. As for the density of states at the Fermi level: 1.77 states/eV per cell. The value obtained for the energy above the lowest structure with this stoichiometry is 0 meV per atom.

***

> The highest energy of formation belongs to which entry?

Ac3AlAs